## Na3TlSb (PBE)

Data for Na3TlSb after structural relaxation.

Cell: 10.689 9.326 6.684 Å, 90.00 90.00 90.00°
Space group Ima2 (No. 46)
Unique sites:
Na  0.020  0.249  0.000 (multiplicity 8)
Na  0.250  0.030  0.749 (multiplicity 4)
Tl  0.250  0.689  0.749 (multiplicity 4)
Sb  0.250  0.123  0.250 (multiplicity 4)

DFT total energy = -44.96 eV per cell
E above lowest polymorph = 138 meV/atom
calculated volume = 666.3 Å³ per cell
E_form (uncorrected) = -0.159 eV/atom

## YErNiAu (PBE)

Data for YErNiAu after structural relaxation.

Cell: 6.987 6.987 6.987 Å, 90.00 90.00 90.00°
Space group F-43m (No. 216)
Unique sites:
Y  0.000  0.000  0.000 (multiplicity 4)
Er  0.000  0.000  0.500 (multiplicity 4)
Ni  0.250  0.250  0.250 (multiplicity 4)
Au  0.250  0.250  0.750 (multiplicity 4)

DFT total energy = -89.93 eV per cell
E_form = -57.8 kJ per mole of atoms
E above lowest polymorph = 50 meV/atom
calculated volume = 341.2 Å³ per cell

## Zr2Tl2Zn (PBE)

Data for Zr2Tl2Zn after structural relaxation.

Cell: 7.281 7.281 4.477 Å, 90.00 90.00 90.00°
Space group P4/mbm (No. 127)
Unique sites:
Zr  0.153  0.347  0.000 (multiplicity 4)
Tl  0.157  0.657  0.500 (multiplicity 4)
Zn  0.000  0.000  0.000 (multiplicity 2)

DFT total energy = -45.22 eV per cell
E_form = 9.5 kJ per mole of atoms
E above lowest polymorph = 0 meV/atom
calculated volume = 237.3 Å³ per cell

## SrLa2TcN4 (PBE)

Data for SrLa2TcN4 after structural relaxation.

Cell: 3.641 12.455 12.466 Å, 90.00 90.00 90.00°
Space group Cmcm (No. 63)
Unique sites:
Sr  0.000  0.109  0.250 (multiplicity 4)
La  0.000  0.369  0.038 (multiplicity 8)
Tc  0.000  0.163  0.750 (multiplicity 4)
N  0.000  0.000  0.000 (multiplicity 4)
N  0.000  0.261  0.630 (multiplicity 8)
N  0.000  0.406  0.250 (multiplicity 4)

DFT total energy = -246.76 eV per cell
calculated volume = 565.3 Å³ per cell
E_form (uncorrected) = -0.811 eV/atom

## ZrTePbN2 (PBE)

Data for ZrTePbN2 after structural relaxation.

Cell: 4.342 4.342 5.691 Å, 90.00 90.00 90.00°
Space group P4/mmm (No. 123)
Unique sites:
Zr  0.000  0.000  0.000 (multiplicity 1)
Te  0.500  0.500  0.000 (multiplicity 1)
Pb  0.500  0.500  0.500 (multiplicity 1)
N  0.000  0.500  0.500 (multiplicity 2)

DFT total energy = -24.73 eV per cell
calculated volume = 107.3 Å³ per cell
E_form (uncorrected) = 1.463 eV/atom

## CoSi3Os (PBE)

Data for CoSi3Os after structural relaxation.

Cell: 4.215 4.215 4.215 Å, 90.00 90.00 90.00°
Space group Pm-3m (No. 221)
Unique sites:
Co  0.000  0.000  0.000 (multiplicity 1)
Si  0.000  0.000  0.500 (multiplicity 3)
Os  0.500  0.500  0.500 (multiplicity 1)

DFT total energy = -30.70 eV per cell
E above lowest polymorph = 0 meV/atom
calculated volume = 74.9 Å³ per cell
E_form (uncorrected) = 0.781 eV/atom

## Rb2ZnOsI6 (PBE)

Data for Rb2ZnOsI6 after structural relaxation.

Cell: 8.136 8.136 11.586 Å, 90.00 90.00 90.00°
Space group I4/mmm (No. 139)
Unique sites:
Rb  0.000  0.500  0.250 (multiplicity 4)
Zn  0.000  0.000  0.000 (multiplicity 2)
Os  0.000  0.000  0.500 (multiplicity 2)
I  0.000  0.000  0.264 (multiplicity 4)
I  0.239  0.239  0.500 (multiplicity 8)

DFT total energy = -56.66 eV per cell
calculated volume = 766.9 Å³ per cell
E_form (uncorrected) = -0.459 eV/atom

## ThH4IrPt2 (PBE)

Data for ThH4IrPt2 after structural relaxation.

Cell: 4.661 4.685 5.099 Å, 111.94 111.26 100.15°
Space group P1 (No. 1)
Unique sites:
Th  0.000  0.000  0.000 (multiplicity 1)
H  0.056  0.463  0.902 (multiplicity 1)
H  0.490  0.480  0.593 (multiplicity 1)
H  0.563  0.169  0.104 (multiplicity 1)
H  0.957  0.965  0.468 (multiplicity 1)
Ir  0.752  0.257  0.504 (multiplicity 1)
Pt  0.251  0.744  0.501 (multiplicity 1)
Pt  0.513  0.528  0.027 (multiplicity 1)

DFT total energy = -44.54 eV per cell
calculated volume = 89.8 Å³ per cell

## HgPOs2 (PBE)

Data for HgPOs2 after structural relaxation.

Cell: 2.838 3.656 6.430 Å, 90.00 90.00 90.00°
Space group Pmm2 (No. 25)
Unique sites:
Hg  0.000  0.000  0.000 (multiplicity 1)
P  0.500  0.500  0.649 (multiplicity 1)
Os  0.000  0.000  0.515 (multiplicity 1)
Os  0.500  0.500  0.285 (multiplicity 1)

DFT total energy = -26.12 eV per cell
E_form = 49.6 kJ per mole of atoms
E above lowest polymorph = 222 meV/atom
calculated volume = 66.7 Å³ per cell

## Li2RePt (PBE)

Data for Li2RePt after structural relaxation.

Cell: 2.597 4.310 5.155 Å, 90.00 90.00 90.00°
Space group Pmmm (No. 47)
Unique sites:
Li  0.000  0.000  0.249 (multiplicity 2)
Re  0.500  0.500  0.500 (multiplicity 1)
Pt  0.500  0.500  0.000 (multiplicity 1)

DFT total energy = -21.95 eV per cell
E_form = 8.8 kJ per mole of atoms
E above lowest polymorph = 219 meV/atom
calculated volume = 57.7 Å³ per cell

## EuHo2Pd (PBE)

Data for EuHo2Pd after structural relaxation.

Cell: 3.565 3.565 8.944 Å, 90.00 90.00 90.00°
Space group P4/mmm (No. 123)
Unique sites:
Eu  0.000  0.000  0.000 (multiplicity 1)
Ho  0.500  0.500  0.316 (multiplicity 2)
Pd  0.000  0.000  0.500 (multiplicity 1)

DFT total energy = -26.17 eV per cell
E_form = -37.2 kJ per mole of atoms
E above lowest polymorph = 0 meV/atom
calculated volume = 113.7 Å³ per cell

## KCo2Se4 (PBE)

Data for KCo2Se4 after structural relaxation.

Cell: 16.636 3.566 5.965 Å, 90.00 109.17 90.00°
Space group C2/m (No. 12)
Unique sites:
K  0.000  0.000  0.000 (multiplicity 2)
Co  0.249  0.500  0.742 (multiplicity 4)
Se  0.167  0.000  0.512 (multiplicity 4)
Se  0.171  0.500  0.016 (multiplicity 4)

DFT total energy = -65.32 eV per cell
calculated volume = 334.2 Å³ per cell
E_form (uncorrected) = -0.487 eV/atom

## Li4SmPb2 (PBE)

Data for Li4SmPb2 after structural relaxation.

Cell: 8.105 8.105 4.724 Å, 90.00 90.00 90.00°
Space group P4_2/mnm (No. 136)
Unique sites:
Li  0.107  0.355  0.000 (multiplicity 8)
Sm  0.000  0.000  0.500 (multiplicity 2)
Pb  0.209  0.791  0.000 (multiplicity 4)

DFT total energy = -44.88 eV per cell
E_form = -36.5 kJ per mole of atoms
calculated volume = 310.4 Å³ per cell

## CeMgZn2Ag2 (PBE)

Data for CeMgZn2Ag2 after structural relaxation.

Cell: 4.5835 4.5835 6.7801 Å, 90.00 90.00 120.00°
Space group P-3m1 (No. 164)
Unique sites:
Ce  0.0000  0.0000  0.0000 (multiplicity 1)
Mg  0.0000  0.0000  0.5000 (multiplicity 1)
Zn  0.3333  0.6667  0.2732 (multiplicity 2)
Ag  0.3333  0.6667  0.7017 (multiplicity 2)

DFT total energy = -16.88 eV per cell
E_form = -17.7 kJ per mole of atoms
calculated volume = 123.4 Å³ per cell

## Cs12Rb7Cl (PBE)

Data for Cs12Rb7Cl after structural relaxation.

Cell: 23.1860 23.1860 13.0519 Å, 90.00 90.00 120.00°
Space group R-3 (No. 148, hexagonal axes)
Unique sites:
Cs  0.0717  0.9257  0.1552 (multiplicity 18)
Cs  0.0753  0.5435  0.1819 (multiplicity 18)
Rb  0.0000  0.0000  0.5000 (multiplicity 3)
Rb  0.0000  0.3929  0.4903 (multiplicity 18)
Cl  0.0000  0.0000  0.0000 (multiplicity 3)

DFT total energy = -67.07 eV per cell
calculated volume = 6076.6 Å³ per cell
E_form (uncorrected) = -0.175 eV/atom

## NbAgRh2 (PBE)

Data for NbAgRh2 after structural relaxation.

Cell: 3.259 3.259 6.091 Å, 90.00 90.00 90.00°
Space group P4/mmm (No. 123)
Unique sites:
Nb  0.000  0.000  0.000 (multiplicity 1)
Ag  0.000  0.000  0.500 (multiplicity 1)
Rh  0.500  0.500  0.232 (multiplicity 2)

DFT total energy = -28.55 eV per cell
E_form = -22.3 kJ per mole of atoms
calculated volume = 64.7 Å³ per cell

## Sr2HoSnO6 (PBE)

Data for Sr2HoSnO6 after structural relaxation.

Cell: 5.904 6.004 10.249 Å, 90.00 125.05 90.00°
Space group P2_1/c (No. 14)
Unique sites:
Sr  0.239  0.041  0.250 (multiplicity 4)
Ho  0.500  0.000  0.000 (multiplicity 2)
Sn  0.000  0.000  0.500 (multiplicity 2)
O  0.153  0.221  0.952 (multiplicity 4)
O  0.237  0.704  0.956 (multiplicity 4)
O  0.328  0.030  0.741 (multiplicity 4)

DFT total energy = -133.78 eV per cell
calculated volume = 297.4 Å³ per cell
E_form (uncorrected) = -2.520 eV/atom

## ReRu3 (PBE)

Data for ReRu3 after structural relaxation.

Cell: 9.011 2.721 4.707 Å, 90.00 100.21 90.00°
Space group C2/m (No. 12)
Unique sites:
Re  0.000  0.000  0.000 (multiplicity 2)
Ru  0.000  0.500  0.500 (multiplicity 2)
Ru  0.249  0.500  0.249 (multiplicity 4)

DFT total energy = -80.00 eV per cell
E_form = 6.7 kJ per mole of atoms
E above lowest polymorph = 156 meV/atom
calculated volume = 113.6 Å³ per cell

## NaAs2SeF (PBE)

Data for NaAs2SeF after structural relaxation.

Cell: 5.041 5.041 4.912 Å, 90.00 90.00 90.00°
Space group P4/mmm (No. 123)
Unique sites:
Na  0.000  0.000  0.000 (multiplicity 1)
As  0.000  0.500  0.000 (multiplicity 2)
Se  0.000  0.000  0.500 (multiplicity 1)
F  0.500  0.500  0.500 (multiplicity 1)

DFT total energy = -11.98 eV per cell
E above lowest polymorph = 857 meV/atom
calculated volume = 124.8 Å³ per cell
E_form (uncorrected) = 0.798 eV/atom

## Ce6GaTc (PBE)

Data for Ce6GaTc after structural relaxation.

Cell: 7.626 9.290 6.234 Å, 90.00 105.48 90.00°
Space group C2/m (No. 12)
Unique sites:
Ce  0.131  0.208  0.303 (multiplicity 8)
Ce  0.184  0.500  0.111 (multiplicity 4)
Ga  0.000  0.500  0.500 (multiplicity 2)
Tc  0.000  0.000  0.000 (multiplicity 2)

DFT total energy = -98.32 eV per cell
E_form = -1.9 kJ per mole of atoms
E above lowest polymorph = 132 meV/atom
calculated volume = 425.6 Å³ per cell

## Ge2BiRu (PBE)

Data for Ge2BiRu after structural relaxation.

Cell: 5.996 5.996 11.973 Å, 90.00 90.00 90.00°
Space group I-42d (No. 122)
Unique sites:
Ge  0.179  0.250  0.125 (multiplicity 8)
Bi  0.000  0.000  0.500 (multiplicity 4)
Ru  0.000  0.000  0.000 (multiplicity 4)

DFT total energy = -84.18 eV per cell
E_form = 32.5 kJ per mole of atoms
E above lowest polymorph = 0 meV/atom
calculated volume = 430.5 Å³ per cell

## Li11Mg4In9 (PBE)

Data for Li11Mg4In9 after structural relaxation.

Cell: 14.934 20.028 3.263 Å, 90.00 90.00 90.00°
Space group Cmmm (No. 65)
Unique sites:
Li  0.000  0.000  0.000 (multiplicity 2)
Li  0.000  0.188  0.000 (multiplicity 4)
Li  0.000  0.370  0.000 (multiplicity 4)
Li  0.200  0.000  0.000 (multiplicity 4)
Li  0.225  0.181  0.000 (multiplicity 8)
Mg  0.170  0.421  0.500 (multiplicity 8)
In  0.000  0.500  0.500 (multiplicity 2)
In  0.109  0.096  0.500 (multiplicity 8)
In  0.115  0.275  0.500 (multiplicity 8)

DFT total energy = -114.21 eV per cell
E_form = -20.2 kJ per mole of atoms
calculated volume = 976.0 Å³ per cell

## Ac2PmSb (PBE)

Data for Ac2PmSb after structural relaxation.

Cell: 5.197 5.197 5.087 Å, 90.00 90.00 90.00°
Space group P4/mmm (No. 123)
Unique sites:
Ac  0.000  0.500  0.000 (multiplicity 2)
Pm  0.000  0.000  0.500 (multiplicity 1)
Sb  0.500  0.500  0.500 (multiplicity 1)

DFT total energy = -18.94 eV per cell
E above lowest polymorph = 0 meV/atom
calculated volume = 137.4 Å³ per cell
E_form (uncorrected) = -0.462 eV/atom

## Pa2IrOs (PBE)

Data for Pa2IrOs after structural relaxation.

Cell: 4.441 4.441 4.038 Å, 90.00 90.00 90.00°
Space group P4/mmm (No. 123)
Unique sites:
Pa  0.000  0.500  0.000 (multiplicity 2)
Ir  0.000  0.000  0.500 (multiplicity 1)
Os  0.500  0.500  0.500 (multiplicity 1)

DFT total energy = -40.57 eV per cell
E_form = -35.9 kJ per mole of atoms
E above lowest polymorph = 242 meV/atom
calculated volume = 79.6 Å³ per cell